Here is a relaxed structure of Tb2InF from the Alexandria database. Energies are from GGA-PBE.

## Properties
Uncorrected energy   -19.12 eV per cell
Space group   R-3m, No. 166
Excess energy over the best structure of this formula in the dataset   0.00 eV per formula unit
ΔE_f (raw)   -1311 meV/atom
N(E_F)   1.9 states/eV per cell
Total magnetic moment   0.000 μB per cell

a b c (Å): 7.9799 7.9799 7.9799
angles (deg): 26.80 26.80 26.80
Sites, in units of the cell vectors:
1 Tb 0.2289 0.2289 0.2289
2 Tb 0.7711 0.7711 0.7711
3 In 0.0000 0.0000 0.0000
4 F 0.5000 0.5000 0.5000

Here is a relaxed structure of InTcF2 from the Alexandria database. Energies are from GGA-PBE.

## Properties
Uncorrected energy   -18.74 eV per cell
Space group   Fm-3m, No. 225
Excess energy over the best structure of this formula in the dataset   2.18 eV per formula unit
ΔE_f (raw)   -474 meV/atom
N(E_F)   3.1 states/eV per cell
Total magnetic moment   3.668 μB per cell

a b c (Å): 4.4348 4.4348 4.4348
angles (deg): 60.00 60.00 60.00
Sites, in units of the cell vectors:
1 In 0.0000 0.0000 0.0000
2 Tc 0.5000 0.5000 0.5000
3 F 0.2500 0.2500 0.2500
4 F 0.7500 0.7500 0.7500

Here is a relaxed structure of In3TcF from the Alexandria database. Energies are from GGA-PBE.

## Properties
Uncorrected energy   -20.68 eV per cell
Space group   Pm-3m, No. 221
Excess energy over the best structure of this formula in the dataset   0.00 eV per formula unit
ΔE_f (raw)   -45 meV/atom
N(E_F)   3.8 states/eV per cell
Total magnetic moment   0.431 μB per cell

a b c (Å): 5.1968 5.1968 5.1968
angles (deg): 90.00 90.00 90.00
Sites, in units of the cell vectors:
1 In 0.0000 0.0000 0.5000
2 In 0.0000 0.5000 0.0000
3 In 0.5000 0.0000 0.0000
4 Tc 0.0000 0.0000 0.0000
5 F 0.5000 0.5000 0.5000

Here is a relaxed structure of InTcF3 from the Alexandria database. Energies are from GGA-PBE.

## Properties
Uncorrected energy   -22.89 eV per cell
Space group   Pm-3m, No. 221
Excess energy over the best structure of this formula in the dataset   2.12 eV per formula unit
ΔE_f (raw)   -834 meV/atom
N(E_F)   4.2 states/eV per cell
Total magnetic moment   4.385 μB per cell

a b c (Å): 4.4419 4.4419 4.4419
angles (deg): 90.00 90.00 90.00
Sites, in units of the cell vectors:
1 In 0.0000 0.0000 0.0000
2 Tc 0.5000 0.5000 0.5000
3 F 0.0000 0.0000 0.5000
4 F 0.0000 0.5000 0.0000
5 F 0.5000 0.0000 0.0000

Here is a relaxed structure of In2TcF from the Alexandria database. Energies are from GGA-PBE.

## Properties
Uncorrected energy   -17.95 eV per cell
Space group   Fm-3m, No. 225
Excess energy over the best structure of this formula in the dataset   0.51 eV per formula unit
ΔE_f (raw)   -60 meV/atom
N(E_F)   2.3 states/eV per cell
Total magnetic moment   2.122 μB per cell

a b c (Å): 4.7245 4.7245 4.7245
angles (deg): 60.00 60.00 60.00
Sites, in units of the cell vectors:
1 In 0.2500 0.2500 0.2500
2 In 0.7500 0.7500 0.7500
3 Tc 0.0000 0.0000 0.0000
4 F 0.5000 0.5000 0.5000

Here is a relaxed structure of InTcF from the Alexandria database. Energies are from GGA-PBE.

## Properties
Uncorrected energy   -33.81 eV per cell
Space group   Pm, No. 6
Excess energy over the best structure of this formula in the dataset   0.24 eV per formula unit
ΔE_f (raw)   -642 meV/atom
N(E_F)   3.5 states/eV per cell
Total magnetic moment   0.001 μB per cell

a b c (Å): 4.9706 2.8580 7.1484
angles (deg): 90.00 97.35 90.00
Sites, in units of the cell vectors:
1 In 0.0000 0.0000 0.0000
2 In 0.4239 0.0000 0.6487
3 Tc 0.5055 0.5000 0.0378
4 Tc 0.6501 0.5000 0.3437
5 F 0.0477 0.5000 0.3615
6 F 0.9692 0.0000 0.6824

Here is a relaxed structure of In3TcF from the Alexandria database. Energies are from GGA-PBE.

## Properties
Uncorrected energy   -19.98 eV per cell
Space group   Pm-3m, No. 221
Excess energy over the best structure of this formula in the dataset   0.70 eV per formula unit
ΔE_f (raw)   95 meV/atom
N(E_F)   1.8 states/eV per cell
Total magnetic moment   2.717 μB per cell

a b c (Å): 4.7470 4.7470 4.7470
angles (deg): 90.00 90.00 90.00
Sites, in units of the cell vectors:
1 In 0.0000 0.0000 0.5000
2 In 0.0000 0.5000 0.0000
3 In 0.5000 0.0000 0.0000
4 Tc 0.5000 0.5000 0.5000
5 F 0.0000 0.0000 0.0000

Here is a relaxed structure of InTcF6 from the Alexandria database. Energies are from GGA-PBE.

## Properties
Uncorrected energy   -40.29 eV per cell
Space group   R-3m, No. 166
ΔE_f (raw)   -1995 meV/atom
N(E_F)   8.5 states/eV per cell
Total magnetic moment   2.000 μB per cell

a b c (Å): 6.1332 6.1332 6.1332
angles (deg): 53.64 53.64 53.64
Sites, in units of the cell vectors:
1 In 0.0000 0.0000 0.0000
2 Tc 0.5000 0.5000 0.5000
3 F 0.1071 0.5886 0.5886
4 F 0.4114 0.4114 0.8929
5 F 0.4114 0.8929 0.4114
6 F 0.5886 0.1071 0.5886
7 F 0.5886 0.5886 0.1071
8 F 0.8929 0.4114 0.4114